1.
Here is a geometry-optimized Na3Cd4In4 structure from Alexandria via LeMat-Bulk. Energies are from PBE-GGA.

D(E_F), states/eV per cell: 3.81
Offset from the most stable computed form, eV/f.u.: 0.30
ΔE_f, meV per atom: -70
Total moment, μB/f.u.: 0.00
Symmetry: Immm

Unit cell a=9.1227 b=9.1227 c=9.1227 alpha=149.90 beta=125.63 gamma=63.40
With the nearest neighbours (Å) after each atom.
Positions (direct):
1 Na 0.0000 0.0000 0.0000  6 Cd 3.44-3.61
2 Na 0.3768 0.8768 0.5000  6 Cd 3.37-3.38, 6 In 3.57
3 Na 0.6232 0.1232 0.5000  6 Cd 3.37-3.38, 6 In 3.57
4 Cd 0.2219 0.2219 0.0000  6 In 2.97-3.04
5 Cd 0.3271 0.5000 0.8271  1 Cd 2.88, 2 In 2.89
6 Cd 0.6729 0.5000 0.1729  1 Cd 2.88, 2 In 2.89
7 Cd 0.7781 0.7781 0.0000  6 In 2.97-3.04
8 In 0.0216 0.3282 0.6934  4 Cd 2.89-3.04, 1 In 3.22
9 In 0.3652 0.6718 0.6934  4 Cd 2.89-3.04, 1 In 3.22
10 In 0.6348 0.3282 0.3066  4 Cd 2.89-3.04, 1 In 3.22
11 In 0.9784 0.6718 0.3066  4 Cd 2.89-3.04, 1 In 3.22

***

2.
Here is a geometry-optimized BaPIO2 structure from Alexandria via LeMat-Bulk. Energies are from PBE-GGA.

D(E_F), states/eV per cell: 2.22
Offset from the most stable computed form, eV/f.u.: 1.46
Formation energy without anion corrections, kJ per mole of atoms: -37
Total moment, μB/f.u.: 0.00
Symmetry: P4/mmm

Unit cell a=4.3369 b=4.3369 c=6.3909 alpha=90.00 beta=90.00 gamma=90.00
With the nearest neighbours (Å) after each atom.
Positions (direct):
1 Ba 0.0000 0.0000 0.0000  4 I 3.07, 2 P 3.20
2 P 0.0000 0.0000 0.5000  4 O 2.17
3 I 0.5000 0.5000 0.0000  4 Ba 3.07
4 O 0.0000 0.5000 0.5000  2 P 2.17
5 O 0.5000 0.0000 0.5000  2 P 2.17

***

3.
Here is a geometry-optimized LiDy4YS8 structure from Alexandria via LeMat-Bulk. Energies are from PBE-GGA.

D(E_F), states/eV per cell: 0.00
Formation energy without anion corrections, kJ per mole of atoms: -190
Total moment, μB/f.u.: 0.00
Symmetry: R3m

Unit cell a=8.0133 b=8.0133 c=8.0133 alpha=59.97 beta=59.97 gamma=59.97
With the nearest neighbours (Å) after each atom.
Positions (direct):
1 Li 0.0000 0.0000 0.0000  4 S 2.58
2 Dy 0.1114 0.6297 0.6297  6 S 2.71-2.80
3 Dy 0.2503 0.2503 0.2503  4 S 2.62
4 Dy 0.6297 0.1114 0.6297  6 S 2.71-2.80
5 Dy 0.6297 0.6297 0.1114  6 S 2.71-2.80
6 Y 0.6297 0.6297 0.6297  6 S 2.71-2.80
7 S 0.3835 0.3835 0.8499  3 Dy 2.62-2.80, 1 Y 2.80
8 S 0.3835 0.8499 0.3835  3 Dy 2.62-2.80, 1 Y 2.80
9 S 0.3837 0.3837 0.3837  4 Dy 2.62-2.80
10 S 0.3947 0.8690 0.8690  1 Li 2.58, 2 Dy 2.71, 1 Y 2.71
11 S 0.8499 0.3835 0.3835  3 Dy 2.62-2.80, 1 Y 2.80
12 S 0.8690 0.3947 0.8690  1 Li 2.58, 2 Dy 2.71, 1 Y 2.71
13 S 0.8690 0.8690 0.3947  1 Li 2.58, 2 Dy 2.71, 1 Y 2.71
14 S 0.8685 0.8685 0.8685  1 Li 2.58, 3 Dy 2.71

***

4.
Here is a geometry-optimized Dy3SiP2Rh9 structure from Alexandria via LeMat-Bulk. Energies are from PBE-GGA.

D(E_F), states/eV per cell: 4.26
Formation energy without anion corrections, kJ per mole of atoms: -69
Total moment, μB/f.u.: 0.00
Symmetry: P-3m1

Unit cell a=6.1125 b=6.1125 c=8.3698 alpha=90.00 beta=90.00 gamma=120.00
With the nearest neighbours (Å) after each atom.
Positions (direct):
1 Dy 0.0000 0.0000 0.0000  12 Rh 2.92-3.06
2 Dy 0.3333 0.6667 0.6789  9 Rh 3.07-3.22
3 Dy 0.6667 0.3333 0.3211  9 Rh 3.07-3.22
4 Si 0.0000 0.0000 0.5000  6 Rh 2.36
5 P 0.3333 0.6667 0.1714  6 Rh 2.18-2.27
6 P 0.6667 0.3333 0.8286  6 Rh 2.18-2.27
7 Rh 0.0000 0.5000 0.0000  2 P 2.27
8 Rh 0.1507 0.3014 0.2919  1 P 2.18, 1 Si 2.36
9 Rh 0.1507 0.8493 0.2919  1 P 2.18, 1 Si 2.36
10 Rh 0.3014 0.1507 0.7081  1 P 2.18, 1 Si 2.36
11 Rh 0.5000 0.0000 0.0000  2 P 2.27
12 Rh 0.5000 0.5000 0.0000  2 P 2.27
13 Rh 0.6986 0.8493 0.2919  1 P 2.18, 1 Si 2.36
14 Rh 0.8493 0.1507 0.7081  1 P 2.18, 1 Si 2.36
15 Rh 0.8493 0.6986 0.7081  1 P 2.18, 1 Si 2.36

***

5.
Here is a geometry-optimized CsReAgBr6 structure from Alexandria via LeMat-Bulk. Energies are from PBE-GGA.

Formation energy without anion corrections, kJ per mole of atoms: -61
Total moment, μB/f.u.: 2.99
Symmetry: P-31c

Unit cell a=7.2366 b=7.2366 c=15.7651 alpha=90.00 beta=90.00 gamma=120.00
With the nearest neighbours (Å) after each atom.
Positions (direct):
1 Cs 0.0000 0.0000 0.0000  6 Br 3.66
2 Cs 0.0000 0.0000 0.5000  6 Br 3.66
3 Re 0.3333 0.6667 0.2500  6 Br 2.54
4 Re 0.6667 0.3333 0.7500  6 Br 2.54
5 Ag 0.3333 0.6667 0.7500  6 Br 2.91
6 Ag 0.6667 0.3333 0.2500  6 Br 2.91
7 Br 0.0388 0.3907 0.1569  1 Re 2.54
8 Br 0.0388 0.6481 0.3431  1 Re 2.54
9 Br 0.3519 0.3907 0.3431  1 Re 2.54
10 Br 0.3519 0.9612 0.1569  1 Re 2.54
11 Br 0.3907 0.0388 0.6569  1 Re 2.54
12 Br 0.3907 0.3519 0.8431  1 Re 2.54
13 Br 0.6093 0.6481 0.1569  1 Re 2.54
14 Br 0.6093 0.9612 0.3431  1 Re 2.54
15 Br 0.6481 0.0388 0.8431  1 Re 2.54
16 Br 0.6481 0.6093 0.6569  1 Re 2.54
17 Br 0.9612 0.3519 0.6569  1 Re 2.54
18 Br 0.9612 0.6093 0.8431  1 Re 2.54

***

6.
Here is a geometry-optimized Sm7PdBr12 structure from Alexandria via LeMat-Bulk. Energies are from PBE-GGA.

D(E_F), states/eV per cell: 5.52
Formation energy without anion corrections, kJ per mole of atoms: -153
Total moment, μB/f.u.: 0.70
Symmetry: R-3

Unit cell a=9.4286 b=9.4286 c=9.4286 alpha=107.70 beta=107.70 gamma=107.70
With the nearest neighbours (Å) after each atom.
Positions (direct):
1 Sm 0.0000 0.0000 0.0000  6 Br 2.93
2 Sm 0.1773 0.3873 0.4666  1 Pd 2.78, 5 Br 2.96-3.11
3 Sm 0.3873 0.4666 0.1773  1 Pd 2.78, 5 Br 2.96-3.11
4 Sm 0.4666 0.1773 0.3873  1 Pd 2.78, 5 Br 2.96-3.11
5 Sm 0.5334 0.8227 0.6127  1 Pd 2.78, 5 Br 2.96-3.11
6 Sm 0.6127 0.5334 0.8227  1 Pd 2.78, 5 Br 2.96-3.11
7 Sm 0.8227 0.6127 0.5334  1 Pd 2.78, 5 Br 2.96-3.11
8 Pd 0.5000 0.5000 0.5000  6 Sm 2.78
9 Br 0.0260 0.3364 0.1095  3 Sm 2.93-3.05
10 Br 0.1095 0.0260 0.3364  3 Sm 2.93-3.05
11 Br 0.1851 0.7207 0.5748  3 Sm 2.96-3.11
12 Br 0.2793 0.4252 0.8149  3 Sm 2.96-3.11
13 Br 0.3364 0.1095 0.0260  3 Sm 2.93-3.05
14 Br 0.4252 0.8149 0.2793  3 Sm 2.96-3.11
15 Br 0.5748 0.1851 0.7207  3 Sm 2.96-3.11
16 Br 0.6636 0.8905 0.9740  3 Sm 2.93-3.05
17 Br 0.7207 0.5748 0.1851  3 Sm 2.96-3.11
18 Br 0.8149 0.2793 0.4252  3 Sm 2.96-3.11
19 Br 0.8905 0.9740 0.6636  3 Sm 2.93-3.05
20 Br 0.9740 0.6636 0.8905  3 Sm 2.93-3.05

***

7.
Here is a geometry-optimized CrAgOs2 structure from Alexandria via LeMat-Bulk. Energies are from PBE-GGA.

D(E_F), states/eV per cell: 3.91
Offset from the most stable computed form, eV/f.u.: 0.73
ΔE_f, meV per atom: 456
Total moment, μB/f.u.: 2.30
Symmetry: Pmm2

Unit cell a=2.7677 b=3.8448 c=5.6185 alpha=90.00 beta=90.00 gamma=90.00
With the nearest neighbours (Å) after each atom.
Positions (direct):
1 Cr 0.0000 0.0000 0.0000  5 Os 2.51-2.73, 2 Cr 2.77, 4 Ag 2.79
2 Ag 0.5000 0.5000 0.7377  2 Ag 2.77, 4 Cr 2.79, 6 Os 2.79-2.88
3 Os 0.0000 0.0000 0.4471  1 Cr 2.51, 6 Os 2.64-2.77
4 Os 0.5000 0.5000 0.2408  6 Os 2.64-2.77, 4 Cr 2.73, 2 Ag 2.79-2.83

***

8.
Here is a geometry-optimized Cs4TlCu3Br12 structure from Alexandria via LeMat-Bulk. Energies are from PBE-GGA.

D(E_F), states/eV per cell: 6.71
Formation energy without anion corrections, kJ per mole of atoms: -90
Total moment, μB/f.u.: 0.00
Symmetry: Im-3m

Unit cell a=9.4117 b=9.4117 c=9.4117 alpha=109.47 beta=109.47 gamma=109.47
With the nearest neighbours (Å) after each atom.
Positions (direct):
1 Cs 0.0000 0.0000 0.5000  12 Br 3.84-3.85
2 Cs 0.0000 0.5000 0.0000  12 Br 3.84-3.85
3 Cs 0.5000 0.0000 0.0000  12 Br 3.84-3.85
4 Cs 0.5000 0.5000 0.5000  12 Br 3.84-3.85
5 Tl 0.0000 0.0000 0.0000  6 Br 2.98
6 Cu 0.0000 0.5000 0.5000  6 Br 2.46-2.72
7 Cu 0.5000 0.0000 0.5000  6 Br 2.46-2.72
8 Cu 0.5000 0.5000 0.0000  6 Br 2.46-2.72
9 Br 0.0000 0.2741 0.2741  1 Cu 2.46
10 Br 0.0000 0.7259 0.7259  1 Cu 2.46
11 Br 0.2500 0.5000 0.7500  2 Cu 2.72
12 Br 0.2500 0.7500 0.5000  2 Cu 2.72
13 Br 0.2741 0.0000 0.2741  1 Cu 2.46
14 Br 0.2741 0.2741 0.0000  1 Cu 2.46
15 Br 0.5000 0.2500 0.7500  2 Cu 2.72
16 Br 0.5000 0.7500 0.2500  2 Cu 2.72
17 Br 0.7259 0.0000 0.7259  1 Cu 2.46
18 Br 0.7259 0.7259 0.0000  1 Cu 2.46
19 Br 0.7500 0.2500 0.5000  2 Cu 2.72
20 Br 0.7500 0.5000 0.2500  2 Cu 2.72